{
  "formula": "VAg3O4",
  "functional": "PBE with a Hubbard U",
  "state": "optimized geometry",
  "lattice": [[6.147, 0.020, 0.000], [1.968, 5.824, 0.000], [-4.058, -2.922, 3.576]],
  "species": ["V", "Ag", "Ag", "Ag", "O", "O", "O", "O"],
  "frac_coords": [[0.000, 0.000, 0.000], [0.500, 0.500, 0.000], [0.250, 0.750, 0.500], [0.750, 0.250, 0.500], [0.698, 0.698, 0.598], [0.100, 0.100, 0.402], [0.302, 0.900, 0.000], [0.900, 0.302, 0.000]],
  "volume_a3_per_cell": 127.9,
  "e_tot_ev_per_atom": -5.34,
  "e_above_lowest_polymorph_mev_per_atom": 30,
  "sg": "I-42m",
  "total_magnetization_mub_per_fu": 0.0
}